[1]
! Tb2Pm8Sm3 | the Alexandria database | GGA-PBE | optimized geometry; values from VASP
&SYSTEM
  ibrav = 0, nat = 13, ntyp = 3
/
ATOMIC_SPECIES
Tb 158.93 Tb.upf
Pm 145.00 Pm.upf
Sm 150.36 Sm.upf
ATOMIC_POSITIONS angstrom
Tb 4.9277 0.0000 2.8734
Tb 15.5320 0.0000 2.8915
Pm 2.7263 0.0000 5.7610
Pm 8.0384 1.6018 2.8812
Pm 6.6799 0.0000 5.7580
Pm 12.4212 1.6018 2.8838
Pm 8.0384 -1.6018 2.8812
Pm 13.7798 0.0000 0.0070
Pm 12.4212 -1.6018 2.8838
Pm 17.7334 0.0000 0.0039
Sm -0.0030 0.0000 2.8825
Sm 10.2328 1.6380 0.0000
Sm 10.2328 -1.6380 0.0000
CELL_PARAMETERS angstrom
10.2328 -3.8644 0.0000
10.2328 3.8644 0.0000
-0.0060 0.0000 5.7650
! * Fermi-level density of states: 19.98 states/eV/cell
! * formation energy from the elements: 4.957 kcal/mol of atoms
! * E above lowest polymorph: 35 meV per atom

***

[2]
! AcGa11Ag | the Alexandria database | GGA-PBE | optimized geometry; values from VASP
&SYSTEM
  ibrav = 0, nat = 13, ntyp = 3
/
ATOMIC_SPECIES
Ac 227.00 Ac.upf
Ga 69.72 Ga.upf
Ag 107.87 Ag.upf
ATOMIC_POSITIONS angstrom
Ac 0.0000 0.0000 0.0000
Ga -1.3641 0.0000 3.4081
Ga 1.4568 3.2842 0.0000
Ga 0.0710 2.3586 2.4524
Ga 0.1363 1.4268 5.3406
Ga 0.0710 -2.3586 2.4524
Ga 0.1363 -1.4268 5.3406
Ga 1.4568 -3.2842 0.0000
Ga 2.9627 1.4268 1.4755
Ga 3.0280 2.3586 4.3637
Ga 2.9627 -1.4268 1.4755
Ga 3.0280 -2.3586 4.3637
Ag 1.5495 0.0000 3.4081
CELL_PARAMETERS angstrom
2.9136 -6.5684 0.0000
2.9136 6.5684 0.0000
-2.7282 0.0000 6.8161
! * Fermi-level density of states: 4.49 states/eV/cell
! * formation energy from the elements: -3.294 kcal/mol of atoms

***

[3]
! TbDy3Y4 | the Alexandria database | GGA-PBE | optimized geometry; values from VASP
&SYSTEM
  ibrav = 0, nat = 16, ntyp = 3
/
ATOMIC_SPECIES
Tb 158.93 Tb.upf
Dy 162.50 Dy.upf
Y 88.91 Y.upf
ATOMIC_POSITIONS angstrom
Tb 0.0000 0.9022 0.0000
Tb 5.6379 6.3872 3.1505
Dy 0.0000 6.3862 3.1474
Dy 2.8206 0.9033 2.0796
Dy 2.8174 6.3861 5.2301
Dy 5.6379 0.9032 6.2979
Dy 8.4553 0.9033 2.0796
Dy 8.4585 6.3861 5.2301
Y 0.0000 2.7232 3.1318
Y 0.0000 4.5611 6.2779
Y 2.8230 2.7259 5.2491
Y 2.8150 4.5634 2.0987
Y 5.6379 2.7283 3.1275
Y 5.6379 4.5661 6.2822
Y 8.4529 2.7259 5.2491
Y 8.4609 4.5634 2.0987
CELL_PARAMETERS angstrom
11.2759 0.0000 0.0000
0.0000 7.2893 0.0000
0.0000 0.0000 6.3009
! * Fermi-level density of states: 27.94 states/eV/cell
! * formation energy from the elements: 0.087 kcal/mol of atoms
! * E above lowest polymorph: 0 meV per atom

***

[4]
! Ac2HfRhS6 | the Alexandria database | GGA-PBE | optimized geometry; values from VASP
&SYSTEM
  ibrav = 0, nat = 20, ntyp = 4
/
ATOMIC_SPECIES
Ac 227.00 Ac.upf
Hf 178.49 Hf.upf
Rh 102.91 Rh.upf
S 32.06 S.upf
ATOMIC_POSITIONS angstrom
Ac 1.6945 0.3069 1.5156
Ac 1.6945 4.6110 1.5156
Ac 5.0834 5.2249 5.3688
Ac 5.0834 9.5290 5.3688
Hf 1.6945 7.3770 5.1855
Hf 5.0834 2.4590 1.6989
Rh 1.6945 2.4590 5.0879
Rh 5.0834 7.3770 1.7965
S 0.0416 2.4590 6.7882
S 0.1355 2.4590 3.3106
S 1.6945 0.0391 5.2797
S 1.6945 4.8789 5.2797
S 3.2534 2.4590 3.3106
S 3.3473 2.4590 6.7882
S 3.4306 7.3770 0.0962
S 3.5245 7.3770 3.5738
S 5.0834 4.9571 1.6047
S 5.0834 9.7969 1.6047
S 6.6424 7.3770 3.5738
S 6.7363 7.3770 0.0962
CELL_PARAMETERS angstrom
6.7779 0.0000 0.0000
0.0000 9.8360 0.0000
0.0000 0.0000 6.8844
! * Fermi-level density of states: 5.32 states/eV/cell
! * formation energy without anion corrections: -1438 meV per atom

***

[5]
! Cs2HfI6Cl | the Alexandria database | GGA-PBE | optimized geometry; values from VASP
&SYSTEM
  ibrav = 0, nat = 10, ntyp = 4
/
ATOMIC_SPECIES
Cs 132.91 Cs.upf
Hf 178.49 Hf.upf
I 126.90 I.upf
Cl 35.45 Cl.upf
ATOMIC_POSITIONS angstrom
Cs 4.5897 0.0000 2.8947
Cs 0.0000 4.5897 2.8947
Hf 0.0000 0.0000 0.0000
I 2.0148 2.0148 0.0000
I 2.5749 -2.5749 5.7894
I 0.0000 0.0000 2.8830
I 0.0000 0.0000 8.6958
I -2.5749 2.5749 5.7894
I 2.5749 2.5749 5.7894
Cl 0.0000 0.0000 5.7894
CELL_PARAMETERS angstrom
-4.5897 4.5897 5.7894
4.5897 -4.5897 5.7894
4.5897 4.5897 -5.7894
! * Fermi-level density of states: 2.70 states/eV/cell
! * formation energy without anion corrections: -1035 meV per atom

***

[6]
! NaTmI2O8 | the Alexandria database | GGA-PBE | optimized geometry; values from VASP
&SYSTEM
  ibrav = 0, nat = 12, ntyp = 4
/
ATOMIC_SPECIES
Na 22.99 Na.upf
Tm 168.93 Tm.upf
I 126.90 I.upf
O 16.00 O.upf
ATOMIC_POSITIONS angstrom
Na 0.0000 0.0000 0.0000
Tm 0.0000 2.6437 2.9425
I 2.6437 0.0000 2.9425
I 0.0000 0.0000 5.8850
O 1.6348 -1.4224 3.8574
O 1.7643 1.3524 -0.9597
O 1.2213 1.0089 2.0276
O 1.2913 -0.8793 6.8447
O 1.0089 4.0661 -2.0276
O 0.8793 1.2913 4.9254
O 1.3524 3.5230 0.9597
O 1.4224 1.6348 7.9126
CELL_PARAMETERS angstrom
-2.6437 2.6437 5.8850
2.6437 -2.6437 5.8850
2.6437 2.6437 -5.8850
! * Fermi-level density of states: 1.30 states/eV/cell
! * formation energy without anion corrections: -1040 meV per atom

***

Please write out number 3 again, unchanged.
! TbDy3Y4 | the Alexandria database | GGA-PBE | optimized geometry; values from VASP
&SYSTEM
  ibrav = 0, nat = 16, ntyp = 3
/
ATOMIC_SPECIES
Tb 158.93 Tb.upf
Dy 162.50 Dy.upf
Y 88.91 Y.upf
ATOMIC_POSITIONS angstrom
Tb 0.0000 0.9022 0.0000
Tb 5.6379 6.3872 3.1505
Dy 0.0000 6.3862 3.1474
Dy 2.8206 0.9033 2.0796
Dy 2.8174 6.3861 5.2301
Dy 5.6379 0.9032 6.2979
Dy 8.4553 0.9033 2.0796
Dy 8.4585 6.3861 5.2301
Y 0.0000 2.7232 3.1318
Y 0.0000 4.5611 6.2779
Y 2.8230 2.7259 5.2491
Y 2.8150 4.5634 2.0987
Y 5.6379 2.7283 3.1275
Y 5.6379 4.5661 6.2822
Y 8.4529 2.7259 5.2491
Y 8.4609 4.5634 2.0987
CELL_PARAMETERS angstrom
11.2759 0.0000 0.0000
0.0000 7.2893 0.0000
0.0000 0.0000 6.3009
! * Fermi-level density of states: 27.94 states/eV/cell
! * formation energy from the elements: 0.087 kcal/mol of atoms
! * E above lowest polymorph: 0 meV per atom